Below is K3Cr2AgF9 after structural relaxation, with properties calculated at the PBE+U level.

Properties
E = -5.04 eV per atom
Total magnetization = 7.0 μB per formula unit

Cell and atoms, written as POSCAR:
```
K3Cr2AgF9
1.0
6.013 0.000 0.000
-3.006 5.207 0.000
0.000 0.000 7.575
K Cr Ag F
3 2 1 9
direct
0.000 0.000 0.000 K
0.333 0.667 0.647 K
0.667 0.333 0.353 K
0.333 0.667 0.150 Cr
0.667 0.333 0.850 Cr
0.000 0.000 0.500 Ag
0.000 0.500 0.000 F
0.178 0.357 0.302 F
0.178 0.822 0.302 F
0.357 0.178 0.698 F
0.500 0.000 0.000 F
0.500 0.500 0.000 F
0.643 0.822 0.302 F
0.822 0.178 0.698 F
0.822 0.643 0.698 F
```